The following is a PBE calculation of crystalline YSnC at its relaxed geometry, from Alexandria via LeMat-Bulk.

Properties
E_tot: -0.4792 Ry per atom
volume: 144.07 Å³ per cell
energy relative to the elements: 0.13 eV per formula unit
magnetic moment: 0.000 μB/cell

a = 4.3268 Å, b = 3.7826 Å, c = 9.2598 Å
α = 101.79°, β = 103.51°, γ = 90.00°
Last column: nearest neighbours and their distance in Å.
Fractional positions:
Sn: 0.7083 0.2083 0.4166  4 Sn 3.23, 5 Y 3.29-3.40
Sn: 0.2917 0.7917 0.5834  4 Sn 3.23, 5 Y 3.29-3.40
Y: 0.8954 0.3954 0.7908  2 C 2.40
Y: 0.1046 0.6046 0.2092  2 C 2.40
C: 0.3543 0.5000 0.0000  1 C 1.26
C: 0.6457 0.5000 0.0000  1 C 1.26